MgMnRe2 PBE-GGA optimized geometry; calculated formation energy = 100 kJ/mol of formula units; ρ = 12.3 g/cm³; N(E_F) = 2.68 states/eV/cell; space group = Cmm2 (35); crystal system = orthorhombic
1.0
2.713 0.020 0.000
-0.979 2.530 0.000
0.000 0.000 8.850
Mg Mn Re
1 1 2
Cartesian
0.000 0.000 4.474
0.867 1.275 6.774
0.000 0.000 8.767
0.867 1.275 2.110